Entry 1:
The following is a PBE-GGA calculation of crystalline SrCe2DyAs4 at its relaxed geometry, from the Alexandria database.

The structure in POSCAR format:
```
SrCe2DyAs4
1.0
7.329 0.000 0.000
0.000 4.255 0.000
-2.466 0.000 6.986
Sr Ce Dy As
1 2 1 4
Direct
0.000 0.000 0.000 Sr
0.500 0.000 0.500 Ce
0.500 0.500 0.000 Ce
0.000 0.500 0.500 Dy
0.254 0.000 0.741 As
0.265 0.500 0.266 As
0.735 0.500 0.734 As
0.746 0.000 0.259 As
```

Results
DFT total energy: -47.70 eV/cell
space-group type: P2/m
energy of formation: -1.37 eV per atom

Entry 2:
The following is a PBE-GGA calculation of crystalline Tb2CeDyAs4 at its relaxed geometry, from the Alexandria database.

The structure in POSCAR format:
```
Tb2CeDyAs4
1.0
7.186 0.000 0.000
0.000 4.153 0.000
-2.390 0.000 6.779
Tb Ce Dy As
2 1 1 4
Direct
0.000 0.000 0.000 Tb
0.500 0.500 0.000 Tb
0.000 0.500 0.500 Ce
0.500 0.000 0.500 Dy
0.251 0.500 0.251 As
0.252 0.000 0.751 As
0.748 0.000 0.249 As
0.749 0.500 0.749 As
```

Results
DFT total energy: -50.50 eV/cell
space-group type: P2/m
energy of formation: -1.51 eV per atom

Entry 3:
The following is a PBE-GGA calculation of crystalline TbCe2DyAs4 at its relaxed geometry, from the Alexandria database.

The structure in POSCAR format:
```
TbCe2DyAs4
1.0
7.217 0.000 0.000
0.000 4.173 0.000
-2.413 0.000 6.815
Tb Ce Dy As
1 2 1 4
Direct
0.000 0.000 0.000 Tb
0.500 0.000 0.500 Ce
0.500 0.500 0.000 Ce
0.000 0.500 0.500 Dy
0.246 0.000 0.748 As
0.247 0.500 0.249 As
0.753 0.500 0.751 As
0.754 0.000 0.252 As
```

Results
DFT total energy: -51.57 eV/cell
space-group type: P2/m
energy of formation: -1.48 eV per atom

Entry 4:
The following is a PBE-GGA calculation of crystalline TbCe3Dy2As6 at its relaxed geometry, from the Alexandria database.

The structure in POSCAR format:
```
TbCe3Dy2As6
1.0
3.614 -6.259 0.000
3.614 6.259 0.000
-2.410 0.000 6.801
Tb Ce Dy As
1 3 2 6
Direct
0.000 0.000 0.000 Tb
0.166 0.834 0.500 Ce
0.500 0.500 0.500 Ce
0.834 0.166 0.500 Ce
0.333 0.667 0.000 Dy
0.667 0.333 0.000 Dy
0.082 0.416 0.246 As
0.252 0.252 0.754 As
0.416 0.082 0.246 As
0.584 0.918 0.754 As
0.748 0.748 0.246 As
0.918 0.584 0.754 As
```

Results
DFT total energy: -77.33 eV/cell
space-group type: C2/m
energy of formation: -1.48 eV per atom

Entry 5:
The following is a PBE-GGA calculation of crystalline CeDyTh2As4 at its relaxed geometry, from the Alexandria database.

The structure in POSCAR format:
```
CeDyTh2As4
1.0
7.284 0.000 0.000
0.000 4.219 0.000
-2.444 0.000 6.884
Ce Dy Th As
1 1 2 4
Direct
0.000 0.000 0.000 Ce
0.000 0.500 0.500 Dy
0.500 0.000 0.500 Th
0.500 0.500 0.000 Th
0.244 0.000 0.746 As
0.245 0.500 0.251 As
0.755 0.500 0.749 As
0.756 0.000 0.254 As
```

Results
DFT total energy: -55.55 eV/cell
space-group type: P2/m
energy of formation: -1.45 eV per atom

Entry 6:
The following is a PBE-GGA calculation of crystalline Ce2DyThAs4 at its relaxed geometry, from the Alexandria database.

The structure in POSCAR format:
```
Ce2DyThAs4
1.0
7.273 0.000 0.000
0.000 4.211 0.000
-2.434 0.000 6.886
Ce Dy Th As
2 1 1 4
Direct
0.000 0.000 0.000 Ce
0.500 0.500 0.000 Ce
0.000 0.500 0.500 Dy
0.500 0.000 0.500 Th
0.245 0.000 0.747 As
0.246 0.500 0.251 As
0.754 0.500 0.749 As
0.755 0.000 0.253 As
```

Results
DFT total energy: -54.14 eV/cell
space-group type: P2/m
energy of formation: -1.46 eV per atom